[1]
Computed, not measured: a relaxed TmThH2 crystal at the PBE level of DFT.

SG = No. 166
Relative energy among the computed polymorphs = 0 meV per atom
Magnetic moment = 0.00 Bohr magnetons per cell

Geometry as POSCAR:
```
TmThH2
1.0
-0.3371 -3.3630 -1.0442
2.3086 -2.4378 1.1141
-2.7341 -3.0305 4.6504
Th Tm H
1 1 2
Direct
0.0000 0.0000 0.0000
0.5000 0.5000 0.5000
0.2482 0.2482 0.2554
0.7518 0.7518 0.7446
```

[2]
Computed, not measured: a relaxed LiMo3 crystal at the PBE level of DFT.

Energy relative to the elements = 0.3964 eV per atom
SG = No. 65
Relative energy among the computed polymorphs = 164 meV per atom
Magnetic moment = 0.00 Bohr magnetons per cell

Geometry as POSCAR:
```
LiMo3
1.0
5.2049 -0.0154 0.0000
-2.3837 4.6271 0.0000
0.0000 0.0000 2.5770
Mo Li
3 1
Direct
0.5000 0.5000 0.0000
0.5000 0.0000 0.5000
0.0000 0.5000 0.5000
0.0000 0.0000 0.0000
```